Entry 1:
DFT (PBE) results for crystalline PrTm2Mg4 at its relaxed geometry.

Cell lengths 5.490, 5.968, 7.119 Å; angles 114.78, 90.00, 90.00 degrees
Fractional positions:
Pr: 0.000 0.500 0.000
Tm: 0.500 0.871 0.741
Tm: 0.500 0.129 0.259
Mg: 0.500 0.626 0.252
Mg: 0.500 0.374 0.748
Mg: 0.000 0.754 0.508
Mg: 0.000 0.246 0.492

- Excess energy over the best structure of this formula in the dataset: 217 meV/atom
- Crystal system: orthorhombic
- Formation energy: 0.37 eV per atom
- Spin magnetization: 0.00 Bohr magnetons per cell
- Space-group type: Cmmm (65)

***

Entry 2:
DFT (PBE) results for crystalline Pr8TmMg2 at its relaxed geometry.

Cell lengths 5.200, 8.298, 9.376 Å; angles 107.86, 106.10, 90.00 degrees
Fractional positions:
Pr: 0.316 0.063 0.632
Pr: 0.595 0.460 0.190
Pr: 0.950 0.264 0.900
Pr: 0.050 0.736 0.100
Pr: 0.140 0.197 0.280
Pr: 0.860 0.803 0.720
Pr: 0.684 0.937 0.368
Pr: 0.405 0.540 0.810
Tm: 0.500 0.000 0.000
Mg: 0.773 0.367 0.546
Mg: 0.227 0.633 0.454

- Excess energy over the best structure of this formula in the dataset: 0 meV/atom
- Crystal system: monoclinic
- Formation energy: 0.00 eV per atom
- Spin magnetization: 0.00 Bohr magnetons per cell
- Space-group type: C2/m (12)

***

Entry 3:
DFT (PBE) results for crystalline PrTm3Mg at its relaxed geometry.

Cell lengths 3.649, 6.722, 12.752 Å; angles 86.56, 90.03, 74.25 degrees
Fractional positions:
Pr: 0.764 0.472 0.239
Pr: 0.236 0.528 0.761
Tm: 0.965 0.069 0.814
Tm: 0.849 0.302 0.560
Tm: 0.151 0.698 0.440
Tm: 0.633 0.734 0.979
Tm: 0.035 0.931 0.186
Tm: 0.367 0.266 0.021
Mg: 0.445 0.109 0.378
Mg: 0.555 0.891 0.622

- Excess energy over the best structure of this formula in the dataset: 0 meV/atom
- Crystal system: triclinic
- Formation energy: -0.01 eV per atom
- Spin magnetization: 0.00 Bohr magnetons per cell
- Space-group type: P-1 (2)

***

Entry 4:
DFT (PBE) results for crystalline Pr8Tm2Mg at its relaxed geometry.

Cell lengths 6.046, 8.325, 8.325 Å; angles 87.99, 80.86, 80.86 degrees
Fractional positions:
Pr: 0.293 0.419 0.419
Pr: 0.914 0.271 0.271
Pr: 0.774 0.130 0.652
Pr: 0.086 0.729 0.729
Pr: 0.707 0.581 0.581
Pr: 0.226 0.870 0.348
Pr: 0.774 0.652 0.130
Pr: 0.226 0.348 0.870
Tm: 0.513 0.132 0.132
Tm: 0.487 0.868 0.868
Mg: 0.000 0.000 0.000

- Excess energy over the best structure of this formula in the dataset: 225 meV/atom
- Crystal system: monoclinic
- Formation energy: 0.36 eV per atom
- Spin magnetization: 0.00 Bohr magnetons per cell
- Space-group type: C2/m (12)

***

Entry 5:
DFT (PBE) results for crystalline Pr3Tm2Mg2 at its relaxed geometry.

Cell lengths 5.338, 3.513, 12.044 Å; angles 90.00, 77.20, 90.00 degrees
Fractional positions:
Tm: 0.712 0.500 0.575
Tm: 0.288 0.500 0.425
Pr: 0.151 0.000 0.697
Pr: 0.849 0.000 0.303
Pr: 0.000 0.000 0.000
Mg: 0.430 0.500 0.140
Mg: 0.570 0.500 0.860

- Crystal system: orthorhombic
- Formation energy: 0.03 eV per atom
- Spin magnetization: 0.39 Bohr magnetons per cell
- Space-group type: Cmmm (65)

***

Entry 6:
DFT (PBE) results for crystalline Pr6TmMg5 at its relaxed geometry.

Cell lengths 5.563, 7.846, 8.845 Å; angles 90.00, 108.36, 90.00 degrees
Fractional positions:
Pr: 0.833 0.748 0.661
Pr: 0.167 0.748 0.339
Pr: 0.500 0.259 0.000
Pr: 0.833 0.252 0.661
Pr: 0.167 0.252 0.339
Pr: 0.500 0.741 0.000
Mg: 0.341 0.000 0.677
Mg: 0.664 0.500 0.335
Mg: 0.336 0.500 0.665
Mg: 0.000 0.500 0.000
Mg: 0.659 0.000 0.323
Tm: 0.000 0.000 0.000

- Crystal system: monoclinic
- Formation energy: -0.07 eV per atom
- Spin magnetization: 0.00 Bohr magnetons per cell
- Space-group type: P2/m (10)

***

Entry 7:
DFT (PBE) results for crystalline Pr2Tm3Mg2 at its relaxed geometry.

Cell lengths 3.526, 3.496, 17.251 Å; angles 90.00, 95.87, 90.00 degrees
Fractional positions:
Tm: 0.430 0.500 0.860
Tm: 0.000 0.000 0.000
Tm: 0.570 0.500 0.140
Mg: 0.866 0.000 0.731
Mg: 0.134 0.000 0.269
Pr: 0.296 0.500 0.593
Pr: 0.704 0.500 0.407

- Crystal system: orthorhombic
- Formation energy: 0.02 eV per atom
- Spin magnetization: 0.00 Bohr magnetons per cell
- Space-group type: Cmmm (65)

***

Entry 8:
DFT (PBE) results for crystalline PrTm8Mg2 at its relaxed geometry.

Cell lengths 6.336, 9.870, 9.870 Å; angles 38.89, 62.79, 62.79 degrees
Fractional positions:
Mg: 0.190 0.254 0.254
Mg: 0.810 0.746 0.746
Pr: 0.000 0.000 0.000
Tm: 0.747 0.580 0.580
Tm: 0.272 0.773 0.773
Tm: 0.742 0.159 0.646
Tm: 0.253 0.420 0.420
Tm: 0.258 0.841 0.354
Tm: 0.742 0.646 0.159
Tm: 0.728 0.227 0.227
Tm: 0.258 0.354 0.841

- Crystal system: monoclinic
- Formation energy: 0.17 eV per atom
- Spin magnetization: 0.00 Bohr magnetons per cell
- Space-group type: C2/m (12)

***

Entry 9:
DFT (PBE) results for crystalline Pr12Tm2Mg at its relaxed geometry.

Cell lengths 6.636, 6.636, 25.310 Å; angles 90.00, 90.00, 90.00 degrees
Fractional positions:
Pr: 0.668 0.832 0.564
Pr: 0.183 0.683 0.108
Pr: 0.500 0.500 0.666
Pr: 0.832 0.332 0.564
Pr: 0.500 0.500 0.210
Pr: 0.000 0.000 0.790
Pr: 0.500 0.500 0.334
Pr: 0.317 0.183 0.108
Pr: 0.332 0.832 0.436
Pr: 0.168 0.332 0.436
Pr: 0.183 0.317 0.892
Pr: 0.668 0.168 0.436
Pr: 0.817 0.683 0.892
Pr: 0.832 0.668 0.436
Pr: 0.817 0.317 0.108
Pr: 0.332 0.168 0.564
Pr: 0.168 0.668 0.564
Pr: 0.000 0.000 0.666
Pr: 0.500 0.500 0.790
Pr: 0.317 0.817 0.892
Pr: 0.683 0.817 0.108
Pr: 0.000 0.000 0.210
Pr: 0.000 0.000 0.334
Pr: 0.683 0.183 0.892
Tm: 0.000 0.500 0.269
Tm: 0.500 0.000 0.731
Tm: 0.000 0.500 0.731
Tm: 0.500 0.000 0.269
Mg: 0.500 0.000 0.000
Mg: 0.000 0.500 0.000

- Crystal system: tetragonal
- Formation energy: 0.29 eV per atom
- Spin magnetization: 0.00 Bohr magnetons per cell
- Space-group type: P4/nbm (125)

***

Entry 10:
DFT (PBE) results for crystalline PrTmMg6 at its relaxed geometry.

Cell lengths 5.220, 6.732, 6.732 Å; angles 120.02, 90.00, 90.00 degrees
Fractional positions:
Mg: 0.500 0.911 0.089
Mg: 0.000 0.585 0.920
Mg: 0.500 0.428 0.089
Mg: 0.500 0.911 0.572
Mg: 0.000 0.080 0.415
Mg: 0.000 0.585 0.415
Tm: 0.500 0.416 0.584
Pr: 0.000 0.083 0.917

- Crystal system: hexagonal
- Formation energy: -0.07 eV per atom
- Spin magnetization: 0.00 Bohr magnetons per cell
- Space-group type: P-6m2 (187)

***

Entry 11:
DFT (PBE) results for crystalline Pr14TmMg at its relaxed geometry.

Cell lengths 7.325, 7.325, 10.425 Å; angles 90.00, 90.00, 90.00 degrees
Fractional positions:
Pr: 0.125 0.375 0.246
Pr: 0.625 0.875 0.754
Pr: 0.375 0.125 0.500
Pr: 0.125 0.875 0.246
Pr: 0.375 0.625 0.500
Pr: 0.875 0.125 0.500
Pr: 0.875 0.625 0.000
Pr: 0.625 0.875 0.246
Pr: 0.125 0.375 0.754
Pr: 0.625 0.375 0.246
Pr: 0.875 0.625 0.500
Pr: 0.125 0.875 0.754
Pr: 0.625 0.375 0.754
Pr: 0.375 0.125 0.000
Mg: 0.875 0.125 0.000
Tm: 0.375 0.625 0.000

- Crystal system: tetragonal
- Formation energy: 0.00 eV per atom
- Spin magnetization: 0.00 Bohr magnetons per cell
- Space-group type: P4/mmm (123)

***

Entry 12:
DFT (PBE) results for crystalline PrTmMg4 at its relaxed geometry.

Cell lengths 3.416, 7.164, 8.676 Å; angles 122.71, 78.64, 76.21 degrees
Fractional positions:
Pr: 0.000 0.000 0.000
Tm: 0.500 0.500 0.500
Mg: 0.846 0.476 0.832
Mg: 0.670 0.004 0.656
Mg: 0.330 0.996 0.344
Mg: 0.154 0.524 0.168

- Excess energy over the best structure of this formula in the dataset: 33 meV/atom
- Crystal system: monoclinic
- Formation energy: -0.04 eV per atom
- Spin magnetization: 0.31 Bohr magnetons per cell
- Space-group type: C2/m (12)

***

Number 1: electronic total energy -2.5031 eV/atom. Number 2: electronic total energy -4.1692 eV/atom. Number 3: electronic total energy -3.9665 eV/atom. Number 4: electronic total energy -4.0719 eV/atom. Number 5: electronic total energy -3.7482 eV/atom. Number 6: electronic total energy -3.4961 eV/atom. Number 7: electronic total energy -3.7132 eV/atom. Number 8: electronic total energy -3.8112 eV/atom. Number 9: electronic total energy -4.2314 eV/atom. Number 10: electronic total energy -2.4200 eV/atom. Number 11: electronic total energy -4.5569 eV/atom. Number 12: electronic total energy -2.6473 eV/atom.